First-principles (PBE-GGA) data for a relaxed structure of Ba2PPd, as listed in Alexandria.

abc: 6.3437 4.5666 9.0282
angles: 90.00 107.19 90.00
Closest atoms and distances in Å follow each position.
Atoms (fractional coordinates):
Ba: 0.2097 0.2500 0.4177  3 Pd 3.14-3.49, 4 P 3.28-3.46
Ba: 0.2894 0.7500 0.0617  3 Pd 3.14-3.44, 3 P 3.22-3.50
Ba: 0.7106 0.2500 0.9383  3 Pd 3.14-3.44, 3 P 3.22-3.50
Ba: 0.7903 0.7500 0.5823  3 Pd 3.14-3.49, 4 P 3.28-3.46
P: 0.3300 0.7500 0.7140  2 Pd 2.51
P: 0.6700 0.2500 0.2860  2 Pd 2.51
Pd: 0.2025 0.2500 0.7640  2 P 2.51
Pd: 0.7975 0.7500 0.2360  2 P 2.51

Summary:
Formation energy in eV/f.u.: -2.994
Theoretical density in g/cm3: 5.48
Fermi-level density of states in states/eV per atom: 0.836


First-principles (PBE-GGA) data for a relaxed structure of Ba4PPd, as listed in Alexandria.

abc: 7.8202 4.6443 8.1422
angles: 90.00 90.47 90.00
Closest atoms and distances in Å follow each position.
Atoms (fractional coordinates):
Ba: 0.2187 0.0000 0.3335  2 P 3.19, 1 Pd 3.20
Ba: 0.2223 0.5000 0.8256  1 P 3.16, 2 Pd 3.24
Ba: 0.7777 0.5000 0.1744  1 P 3.16, 2 Pd 3.24
Ba: 0.7813 0.0000 0.6665  2 P 3.19, 1 Pd 3.20
P: 0.0000 0.5000 0.5000  6 Ba 3.16-3.19
Pd: 0.0000 0.0000 0.0000  6 Ba 3.20-3.24

Summary:
Formation energy in eV/f.u.: -3.530
Theoretical density in g/cm3: 3.86
Energy relative to the lowest polymorph listed for this composition in kJ/mol of formula units: 0
Fermi-level density of states in states/eV per atom: 0.708


First-principles (PBE-GGA) data for a relaxed structure of Ba2PPd, as listed in Alexandria.

abc: 9.5362 9.5362 9.5362
angles: 140.19 140.19 57.56
Closest atoms and distances in Å follow each position.
Atoms (fractional coordinates):
Ba: 0.1214 0.6250 0.9964  2 P 3.09, 2 Pd 3.12
Ba: 0.3750 0.3714 0.4964  2 P 3.09, 2 Pd 3.12
Ba: 0.6286 0.1250 0.0036  2 P 3.09, 2 Pd 3.12
Ba: 0.8750 0.8786 0.5036  2 P 3.09, 2 Pd 3.12
P: 0.0000 0.0000 0.0000  4 Ba 3.09
P: 0.7500 0.2500 0.5000  4 Ba 3.09
Pd: 0.2500 0.7500 0.5000  4 Ba 3.12
Pd: 0.5000 0.5000 0.0000  4 Ba 3.12

Summary:
Formation energy in eV/f.u.: -0.834
Theoretical density in g/cm3: 3.88
Fermi-level density of states in states/eV per atom: 1.263


First-principles (PBE-GGA) data for a relaxed structure of BaP6Pd, as listed in Alexandria.

abc: 5.8319 5.8319 6.3909
angles: 100.20 100.20 107.83
Closest atoms and distances in Å follow each position.
Atoms (fractional coordinates):
Ba: 0.0000 0.0000 0.0000  6 P 3.18-3.44
P: 0.1721 0.6324 0.6190  2 P 2.22-2.31, 1 Pd 2.46
P: 0.3676 0.8279 0.3810  2 P 2.22-2.31, 1 Pd 2.46
P: 0.3926 0.3926 0.8355  1 P 2.18
P: 0.6074 0.6074 0.1645  1 P 2.18
P: 0.6324 0.1721 0.6190  2 P 2.22-2.31, 1 Pd 2.46
P: 0.8279 0.3676 0.3810  2 P 2.22-2.31, 1 Pd 2.46
Pd: 0.5000 0.5000 0.5000  6 P 2.46-2.47

Summary:
Formation energy in eV/f.u.: -1.845
Theoretical density in g/cm3: 3.61
Fermi-level density of states in states/eV per atom: 0.177


First-principles (PBE-GGA) data for a relaxed structure of Ba3P3Pd2, as listed in Alexandria.

abc: 6.2583 6.2583 16.2624
angles: 90.00 90.00 139.27
Closest atoms and distances in Å follow each position.
Atoms (fractional coordinates):
Ba: 0.0427 0.9573 0.7500  5 P 3.22-3.50, 4 Pd 3.23
Ba: 0.3411 0.6589 0.5950  7 P 3.32-3.52, 4 Pd 3.34-3.46
Ba: 0.3411 0.6589 0.9050  7 P 3.32-3.52, 4 Pd 3.34-3.46
Ba: 0.6589 0.3411 0.0950  7 P 3.32-3.52, 4 Pd 3.34-3.46
Ba: 0.6589 0.3411 0.4050  7 P 3.32-3.52, 4 Pd 3.34-3.46
Ba: 0.9573 0.0427 0.2500  5 P 3.22-3.50, 4 Pd 3.23
P: 0.0650 0.9350 0.5515  1 P 2.27, 2 Pd 2.53
P: 0.0650 0.9350 0.9485  1 P 2.27, 2 Pd 2.53
P: 0.2552 0.7448 0.2500  2 Pd 2.57
P: 0.7448 0.2552 0.7500  2 Pd 2.57
P: 0.9350 0.0650 0.0515  1 P 2.27, 2 Pd 2.53
P: 0.9350 0.0650 0.4485  1 P 2.27, 2 Pd 2.53
Pd: 0.3724 0.6276 0.1167  3 P 2.53-2.57
Pd: 0.3724 0.6276 0.3833  3 P 2.53-2.57
Pd: 0.6276 0.3724 0.6167  3 P 2.53-2.57
Pd: 0.6276 0.3724 0.8833  3 P 2.53-2.57

Summary:
Formation energy in eV/f.u.: -7.225
Theoretical density in g/cm3: 5.74
Fermi-level density of states in states/eV per atom: 0.606


First-principles (PBE-GGA) data for a relaxed structure of BaPPd, as listed in Alexandria.

abc: 6.3850 7.7835 7.9351
angles: 90.00 128.04 90.00
Closest atoms and distances in Å follow each position.
Atoms (fractional coordinates):
Ba: 0.1370 0.0251 0.3190  5 P 3.29-3.64, 4 Pd 3.39-3.61, 1 Ba 3.67
Ba: 0.1370 0.4749 0.8190  5 P 3.29-3.64, 4 Pd 3.39-3.61, 1 Ba 3.67
Ba: 0.8630 0.5251 0.1810  5 P 3.29-3.64, 4 Pd 3.39-3.61, 1 Ba 3.67
Ba: 0.8630 0.9749 0.6810  5 P 3.29-3.64, 4 Pd 3.39-3.61, 1 Ba 3.67
P: 0.4096 0.6727 0.6285  3 Pd 2.31-2.40
P: 0.4096 0.8273 0.1285  3 Pd 2.31-2.40
P: 0.5904 0.1727 0.8715  3 Pd 2.31-2.40
P: 0.5904 0.3273 0.3715  3 Pd 2.31-2.40
Pd: 0.4931 0.6237 0.3758  3 P 2.31-2.40
Pd: 0.4931 0.8763 0.8758  3 P 2.31-2.40
Pd: 0.5069 0.1237 0.1242  3 P 2.31-2.40
Pd: 0.5069 0.3763 0.6242  3 P 2.31-2.40

Summary:
Formation energy in eV/f.u.: -2.854
Theoretical density in g/cm3: 5.87
Fermi-level density of states in states/eV per atom: 0.050